Entry from Alexandria via LeMat-Bulk: PmH2Br after structural relaxation (PBE).

```
PmH2Br
1.0
3.889 0.000 0.000
-1.945 3.368 0.000
0.000 0.000 10.739
Pm H Br
2 4 2
direct
0.333 0.667 0.345
0.667 0.333 0.655
0.000 0.000 0.365
0.000 0.000 0.635
0.333 0.667 0.561
0.667 0.333 0.439
0.333 0.667 0.839
0.667 0.333 0.161
```

crystal system	trigonal
ΔE to the lowest computed polymorph	0	meV/atom
space group	P-3m1
total magnetization	0.000	μB per atom